1.
A plane-wave DFT calculation with GGA-PBE was carried out for an optimized crystal structure of K2AsO4.

Properties
electronic total energy: -35.98 eV per formula unit
relative energy among the computed polymorphs: 79.1 meV/atom
crystal system: orthorhombic
ρ: 1.89 g/cm3
V: 27.195 A^3/atom
uncorrected formation energy: -1.33 eV per atom

a b c (Å): 10.0625 8.6990 8.6990
angles (deg): 89.90 90.00 90.00
Atoms (fractional coordinates):
K1 0.5000 0.2722 0.2722
K2 0.0000 0.2259 0.7741
K3 0.0000 0.7741 0.2259
K4 0.5000 0.7278 0.7278
K5 0.5000 0.7259 0.2741
K6 0.0000 0.7722 0.7722
K7 0.5000 0.2741 0.7259
K8 0.0000 0.2278 0.2278
As1 0.2501 0.0000 0.5000
As2 0.7501 0.0000 0.5000
As3 0.7499 0.5000 0.0000
As4 0.2499 0.5000 0.0000
O1 0.3480 0.1625 0.4998
O2 0.6521 0.1625 0.4998
O3 0.1521 0.0002 0.3375
O4 0.8480 0.9998 0.6625
O5 0.8480 0.0002 0.3375
O6 0.1521 0.9998 0.6625
O7 0.6521 0.8375 0.5002
O8 0.3480 0.8375 0.5002
O9 0.1520 0.6625 0.9998
O10 0.8479 0.6625 0.9998
O11 0.3479 0.5002 0.8375
O12 0.6520 0.4998 0.1625
O13 0.6520 0.5002 0.8375
O14 0.3479 0.4998 0.1625
O15 0.8479 0.3375 0.0001
O16 0.1520 0.3375 0.0002

2.
A plane-wave DFT calculation with GGA-PBE was carried out for an optimized crystal structure of Dy3HgSeCl.

Properties
electronic total energy: -26.54 eV per formula unit
crystal system: monoclinic
ρ: 8.24 g/cm3
V: 26.965 A^3/atom
uncorrected formation energy: -1.18 eV per atom

a b c (Å): 3.8931 8.8135 11.3010
angles (deg): 123.44 90.00 90.00
Atoms (fractional coordinates):
Dy1 0.7500 0.9310 0.0964
Dy2 0.2500 0.0690 0.9036
Dy3 0.2500 0.6787 0.5232
Dy4 0.7500 0.3213 0.4768
Dy5 0.7500 0.5093 0.1674
Dy6 0.2500 0.4907 0.8326
Hg1 0.2500 0.2861 0.2395
Hg2 0.7500 0.7139 0.7605
Se1 0.2500 0.7280 0.1376
Se2 0.7500 0.2720 0.8624
Cl1 0.2500 0.1833 0.5584
Cl2 0.7500 0.8167 0.4416

3.
A plane-wave DFT calculation with GGA-PBE was carried out for an optimized crystal structure of CaReIr2.

Properties
electronic total energy: -31.21 eV per formula unit
relative energy among the computed polymorphs: 206.4 meV/atom
crystal system: tetragonal
ρ: 15.06 g/cm3
formation enthalpy at 0 K: 23.21 kJ/mol of atoms
V: 16.832 A^3/atom

a b c (Å): 2.7818 2.7818 8.7008
angles (deg): 90.00 90.00 90.00
Atoms (fractional coordinates):
Re1 0.0000 0.0000 0.4650
Ca1 0.5000 0.5000 0.7590
Ir1 0.0000 0.0000 0.0282
Ir2 0.5000 0.5000 0.2478

4.
A plane-wave DFT calculation with GGA-PBE was carried out for an optimized crystal structure of SrTiNF2.

Properties
electronic total energy: -26.04 eV per formula unit
relative energy among the computed polymorphs: 1448.5 meV/atom
crystal system: tetragonal
ρ: 3.11 g/cm3
V: 20.010 A^3/atom
uncorrected formation energy: -0.88 eV per atom

a b c (Å): 4.4174 4.4174 5.1272
angles (deg): 90.00 90.00 90.00
Atoms (fractional coordinates):
Sr1 0.0000 0.0000 0.0000
N1 0.0000 0.0000 0.5000
F1 0.0000 0.5000 0.0000
F2 0.5000 0.0000 0.0000
Ti1 0.5000 0.5000 0.5000